The following is a PBE calculation of a relaxed HoTm12C7 crystal, from Alexandria.

a = 7.9823 Å, b = 7.9823 Å, c = 7.9823 Å
α = 107.66°, β = 107.66°, γ = 107.66°
Fractional coordinates of all 20 atoms:
Tm1 0.8405 0.6255 0.5566
Ho1 0.0000 0.0000 0.0000
C1 0.8833 0.9592 0.6447
Tm2 0.0704 0.6908 0.2144
Tm3 0.5566 0.8405 0.6255
Tm4 0.2144 0.0704 0.6908
Tm5 0.6908 0.2144 0.0704
C2 0.5000 0.5000 0.5000
Tm6 0.1595 0.3745 0.4434
C3 0.6447 0.8833 0.9592
Tm7 0.3745 0.4434 0.1595
Tm8 0.4434 0.1595 0.3745
C4 0.0408 0.3553 0.1167
Tm9 0.6255 0.5566 0.8405
Tm10 0.7856 0.9296 0.3092
C5 0.9592 0.6447 0.8833
Tm11 0.3092 0.7856 0.9296
C6 0.1167 0.0408 0.3553
Tm12 0.9296 0.3092 0.7856
C7 0.3553 0.1167 0.0408

Results
Formation energy from the elements = -0.302 eV per atom
Crystal system = trigonal
Magnetization = 0.00 Bohr magnetons per cell